Material: WCl5
Method: DFT, GGA-PBE
State: relaxed

## Properties
**Total magnetization**: 0.7757 μB/atom
**SG**: Amm2, No. 38
**Mass density**: 3.03 g cm⁻³
**Formation energy (no corrections)**: -0.10 eV/atom
**ΔE to the lowest computed polymorph**: 0.729 eV/atom

Cell and atoms, written as POSCAR:
```
WCl5
1.0
4.839 0.000 0.000
0.000 1.873 10.930
0.000 -1.873 10.930
W Cl
1 5
Cartesian
0.000 0.000 0.000
0.000 0.000 9.308
0.000 0.000 12.524
2.419 0.000 6.276
2.419 0.000 15.428
2.419 0.000 21.495
```